Entry from the Alexandria database: a geometry-optimized SrIr2N structure (GGA-PBE). Values from VASP.

The structure in Quantum ESPRESSO input format:
```
&SYSTEM
  ibrav = 0, nat = 8, ntyp = 3
/
ATOMIC_SPECIES
Sr 87.62 Sr.upf
Ir 192.22 Ir.upf
N 14.01 N.upf
CELL_PARAMETERS angstrom
-2.971 1.460 -3.973
1.081 -4.432 -2.437
-5.823 -4.144 -0.535
ATOMIC_POSITIONS crystal
Sr 0.000 0.000 0.000
Sr 0.750 0.250 0.500
Ir 0.375 0.125 0.250
Ir 0.375 0.625 0.250
Ir 0.375 0.625 0.750
Ir 0.875 0.625 0.750
N 0.500 0.500 0.000
N 0.250 0.750 0.500
```

Results
**Formation energy (no corrections)**: 48 kJ/mol of formula units

Entry from the Alexandria database: a geometry-optimized PmEuBeZn structure (GGA-PBE). Values from VASP.

The structure in Quantum ESPRESSO input format:
```
&SYSTEM
  ibrav = 0, nat = 4, ntyp = 4
/
ATOMIC_SPECIES
Eu 151.96 Eu.upf
Be 9.01 Be.upf
Zn 65.41 Zn.upf
Pm 145.00 Pm.upf
CELL_PARAMETERS angstrom
-3.319 2.445 -3.036
0.128 -0.753 -5.063
-3.764 -2.602 -2.297
ATOMIC_POSITIONS crystal
Eu 0.750 0.750 0.750
Be 0.500 0.500 0.500
Zn 0.000 0.000 0.000
Pm 0.250 0.250 0.250
```

Results
**Energy**: -19.99 eV per cell

Entry from the Alexandria database: a geometry-optimized Ba5Ho structure (GGA-PBE). Values from VASP.

The structure in Quantum ESPRESSO input format:
```
&SYSTEM
  ibrav = 0, nat = 6, ntyp = 2
/
ATOMIC_SPECIES
Ho 164.93 Ho.upf
Ba 137.33 Ba.upf
CELL_PARAMETERS angstrom
4.661 0.000 0.000
0.000 6.854 0.000
0.000 -3.427 10.296
ATOMIC_POSITIONS crystal
Ho 0.000 0.000 0.000
Ba 0.000 0.672 0.344
Ba 0.000 0.328 0.656
Ba 0.500 0.500 0.000
Ba 0.500 0.149 0.298
Ba 0.500 0.851 0.702
```

Results
**Energy**: -13.28 eV per cell